Entry 1:
## Ba2Si3SbPt12 (PBE)

Data for crystalline Ba2Si3SbPt12 at its relaxed geometry.

Values from the calculation:
- N(E_F): 4.571 states/eV per cell
- Space group: R-3m
- Uncorrected formation energy: -0.38 eV/atom
- Density: 12.0 Mg/m³
- E: -5.756 eV per atom
- Magnetic moment: 0.00 μB/f.u.

Geometry as extended XYZ:
```
18
Lattice="8.191 0.021 0.015 4.063 7.112 0.015 4.063 2.365 6.708" Properties=species:S:1:pos:R:3 pbc="T T T"
Ba 10.018 5.831 4.136
Ba 6.299 3.667 2.601
Si 4.096 0.010 0.007
Si 2.032 3.556 0.007
Si 2.032 1.183 3.354
Sb 0.000 0.000 0.000
Pt 7.932 4.617 6.060
Pt 12.381 7.207 2.581
Pt 10.304 8.386 5.948
Pt 10.218 3.319 2.354
Pt 12.381 4.819 5.948
Pt 7.932 7.246 2.354
Pt 8.385 4.881 0.677
Pt 3.937 2.291 4.156
Pt 6.013 1.112 0.789
Pt 6.099 6.179 4.383
Pt 3.937 4.679 0.789
Pt 8.385 2.252 4.383
```

Entry 2:
## LaOsPb2 (PBE)

Data for crystalline LaOsPb2 at its relaxed geometry.

Values from the calculation:
- N(E_F): 3.244 states/eV per cell
- Space group: C2/m
- Formation energy: 0.46 eV per formula unit
- Density: 12.1 Mg/m³
- Relative energy among the computed polymorphs: 40.9 meV per atom
- E: -5.779 eV per atom
- Magnetic moment: 0.00 μB/f.u.

Geometry as extended XYZ:
```
4
Lattice="4.701 -0.024 0.116 2.383 4.052 0.116 2.211 1.257 5.424" Properties=species:S:1:pos:R:3 pbc="T T T"
La 2.324 1.321 1.414
Os 6.971 3.964 4.242
Pb 2.222 1.264 5.026
Pb 4.636 2.636 3.226
```

Entry 3:
## Nb2Cr3Os (PBE)

Data for crystalline Nb2Cr3Os at its relaxed geometry.

Values from the calculation:
- N(E_F): 9.424 states/eV per cell
- Space group: C2/m
- Formation energy: -0.65 eV per formula unit
- Density: 10.1 Mg/m³
- E: -10.148 eV per atom
- Magnetic moment: 0.00 μB/f.u.

Geometry as extended XYZ:
```
6
Lattice="4.354 -0.123 -2.278 -2.768 4.057 -0.219 -0.131 0.170 5.034" Properties=species:S:1:pos:R:3 pbc="T T T"
Nb 2.211 1.453 -1.158
Nb -0.756 2.651 3.694
Cr 0.728 2.052 1.268
Cr -0.065 0.085 2.517
Cr 2.111 0.023 1.378
Os 0.000 0.000 0.000
```

Entry 4:
## LaPr5Ho (PBE)

Data for crystalline LaPr5Ho at its relaxed geometry.

Values from the calculation:
- N(E_F): 13.840 states/eV per cell
- Space group: Immm
- Formation energy: 6.48 eV per formula unit
- Density: 5.2 Mg/m³
- E: -3.846 eV per atom
- Magnetic moment: 0.07 μB/f.u.

Geometry as extended XYZ:
```
7
Lattice="-3.696 -2.646 3.825 3.922 -2.635 6.576 -1.226 4.560 6.579" Properties=species:S:1:pos:R:3 pbc="T T T"
La 0.000 0.000 0.000
Pr -2.103 -1.507 6.153
Pr 0.441 2.231 6.578
Pr -1.848 -1.323 1.913
Pr 2.255 -0.305 6.577
Pr 1.102 0.785 10.827
Ho -0.500 -0.361 8.490
```

Entry 5:
## AlGaW2 (PBE)

Data for crystalline AlGaW2 at its relaxed geometry.

Values from the calculation:
- N(E_F): 5.949 states/eV per cell
- Space group: I-42d
- Formation energy: 2.90 eV per formula unit
- Density: 11.5 Mg/m³
- Relative energy among the computed polymorphs: 333.9 meV per atom
- E: -7.445 eV per atom
- Magnetic moment: 0.00 μB/f.u.

Geometry as extended XYZ:
```
8
Lattice="7.008 0.000 0.000 0.000 7.008 0.000 3.504 3.504 2.725" Properties=species:S:1:pos:R:3 pbc="T T T"
Ga 0.000 0.000 0.000
Ga 7.008 3.504 1.363
W 5.292 1.752 0.681
W 1.715 5.256 0.681
W 5.256 5.219 2.044
W 8.760 8.796 2.044
Al 3.504 3.504 0.000
Al 3.504 7.008 1.363
```

Entry 6:
## Li5CoBrN2 (PBE)

Data for crystalline Li5CoBrN2 at its relaxed geometry.

Values from the calculation:
- N(E_F): 5.503 states/eV per cell
- Space group: P4/mmm
- Uncorrected formation energy: -0.56 eV/atom
- Density: 2.6 Mg/m³
- E: -4.446 eV per atom
- Magnetic moment: 0.95 μB/f.u.

Geometry as extended XYZ:
```
9
Lattice="-0.723 -2.605 3.152 2.848 -2.618 -1.511 5.275 3.413 4.030" Properties=species:S:1:pos:R:3 pbc="T T T"
Li 2.637 1.706 2.015
Li 5.547 1.359 2.396
Li 0.790 -0.558 2.456
Li 2.575 -0.564 0.124
Li 3.762 1.365 4.727
Co 0.000 0.000 0.000
Br 3.700 -0.905 2.836
N 1.209 0.782 0.924
N 4.066 2.631 3.107
```

Entry 7:
## LiGdAgPt (PBE)

Data for crystalline LiGdAgPt at its relaxed geometry.

Values from the calculation:
- N(E_F): 2.448 states/eV per cell
- Space group: F-43m
- Formation energy: -2.23 eV per formula unit
- Density: 9.7 Mg/m³
- E: -6.780 eV per atom
- Magnetic moment: 7.25 μB/f.u.

Geometry as extended XYZ:
```
4
Lattice="4.830 0.000 0.000 2.415 4.183 0.000 2.415 1.394 3.944" Properties=species:S:1:pos:R:3 pbc="T T T"
Gd 0.000 0.000 0.000
Ag 7.245 4.183 2.958
Pt 2.415 1.394 0.986
Li 4.830 2.789 1.972
```

Entry 8:
## CaSbPb2 (PBE)

Data for crystalline CaSbPb2 at its relaxed geometry.

Values from the calculation:
- N(E_F): 2.426 states/eV per cell
- Space group: F-43m
- Uncorrected formation energy: -0.25 eV/atom
- Density: 7.8 Mg/m³
- E: -3.638 eV per atom
- Magnetic moment: 0.00 μB/f.u.

Geometry as extended XYZ:
```
4
Lattice="-3.796 2.311 3.360 -3.385 -3.234 3.020 0.627 -0.292 5.528" Properties=species:S:1:pos:R:3 pbc="T T T"
Pb 0.000 0.000 0.000
Pb -1.639 -0.304 2.977
Sb -4.916 -0.911 8.931
Ca -3.277 -0.607 5.954
```

Q: What is the N(E_F) in the seventh record?
A: 2.448 states/eV per cell

Q: Among the records above, which one has the highest magnetic moment?
A: LiGdAgPt